1.
The following is a DFT calculation (PBE) of a geometry-optimized CeCd2Ga structure.

The structure in extended XYZ format:
```
8
Lattice="-2.4103 0.0545 3.9825 1.9545 -6.1667 1.2673 4.9502 2.1807 2.9661" Properties=species:S:1:pos:R:3 pbc="T T T"
Cd 2.1737 0.2587 2.6725
Cd -0.0932 -5.2533 4.0970
Cd 2.3207 -4.1901 5.5434
Cd 4.5877 1.3218 4.1189
Ce 2.7101 -0.8648 5.7335
Ce 1.7844 -3.0666 2.4824
Ga 4.5432 -2.8708 4.1494
Ga -0.0487 -1.0606 4.0665
```

Output
Its formation energy is -0.283 eV per atom. Its electronic total energy is -2.9808 eV per atom. The calculation puts the energy above the most stable polymorph in this dataset at 0 meV per atom. The symmetry is Pmmn (59). As for the size of the total moment: 0.79 μB/f.u.

***

2.
The following is a DFT calculation (PBE) of a geometry-optimized Ce6Cd2Ga structure.

The structure in extended XYZ format:
```
9
Lattice="-0.9502 0.7885 2.7003 -3.2994 -8.3843 1.2873 8.5491 1.9503 2.4389" Properties=species:S:1:pos:R:3 pbc="T T T"
Ga 8.5491 1.9503 2.4389
Cd 4.5996 -1.4945 2.0551
Cd -0.3002 -4.1509 4.3714
Ce 2.2390 1.0134 2.1244
Ce 1.1915 -1.6484 2.5331
Ce 5.3599 1.7254 3.0148
Ce -2.7271 -5.3282 2.2287
Ce 3.1079 -3.9971 3.8934
Ce -1.5226 -2.2675 1.7588
```

Output
Its formation energy is -0.160 eV per atom. Its electronic total energy is -4.6558 eV per atom. The symmetry is P6/mmm (191). As for the size of the total moment: 1.64 μB/f.u.

***

3.
The following is a DFT calculation (PBE) of a geometry-optimized CeCd2Ga structure.

The structure in extended XYZ format:
```
4
Lattice="-0.8151 -2.9244 0.4079 1.5500 -1.7616 1.9690 -6.9060 1.6124 9.2615" Properties=species:S:1:pos:R:3 pbc="T T T"
Ga -3.0856 -1.5368 5.8192
Cd -4.8789 0.7125 6.8607
Cd -1.2922 -3.7862 4.7777
Ce 0.0000 0.0000 0.0000
```

Output
Its formation energy is 0.147 eV per atom. Its electronic total energy is -2.5503 eV per atom. The calculation puts the energy above the most stable polymorph in this dataset at 431 meV per atom. The symmetry is R-3m (166). As for the size of the total moment: 0.46 μB/f.u.